(1)
This record from the Alexandria database describes CsTe2Se2 after structural relaxation. The functional is GGA-PBEsol.

POSCAR file:
```
CsTe2Se2
1.0
5.593 0.000 0.000
0.000 5.593 0.000
0.000 0.000 12.076
Cs Te Se
2 4 4
direct
0.000 0.000 0.000 Cs
0.500 0.500 0.500 Cs
0.000 0.000 0.302 Te
0.000 0.000 0.698 Te
0.500 0.500 0.198 Te
0.500 0.500 0.802 Te
0.000 0.500 0.250 Se
0.000 0.500 0.750 Se
0.500 0.000 0.250 Se
0.500 0.000 0.750 Se
```

Summary:
total magnetization = 0.0 μB/f.u.
VASP energy = -3.518 eV per atom
energy above the most stable polymorph in this dataset = 0.000 eV/atom
ΔE_f (raw) = -379 meV per atom

***

(2)
This record from the Alexandria database describes CsTeSe3 after structural relaxation. The functional is GGA-PBEsol.

POSCAR file:
```
CsTeSe3
1.0
5.418 0.000 0.000
0.000 5.418 0.000
0.000 0.000 5.418
Cs Te Se
1 1 3
direct
0.000 0.000 0.000 Cs
0.500 0.500 0.500 Te
0.000 0.500 0.500 Se
0.500 0.000 0.500 Se
0.500 0.500 0.000 Se
```

Summary:
total magnetization = 0.0 μB/f.u.
VASP energy = -3.460 eV per atom
ΔE_f (raw) = -256 meV per atom

***

(3)
This record from the Alexandria database describes CsTe2Se2 after structural relaxation. The functional is GGA-PBEsol.

POSCAR file:
```
CsTe2Se2
1.0
9.300 0.000 0.000
0.000 9.300 0.000
0.000 0.000 4.356
Cs Te Se
2 4 4
direct
0.000 0.000 0.000 Cs
0.500 0.500 0.000 Cs
0.236 0.264 0.500 Te
0.264 0.764 0.500 Te
0.736 0.236 0.500 Te
0.764 0.736 0.500 Te
0.152 0.652 0.000 Se
0.348 0.152 0.000 Se
0.652 0.848 0.000 Se
0.848 0.348 0.000 Se
```

Summary:
total magnetization = 0.0 μB/f.u.
VASP energy = -3.394 eV per atom
energy above the most stable polymorph in this dataset = 0.125 eV/atom
ΔE_f (raw) = -255 meV per atom

***

(4)
This record from the Alexandria database describes CsTh2Se6 after structural relaxation. The functional is GGA-PBEsol.

POSCAR file:
```
CsTh2Se6
1.0
-2.092 2.755 11.932
2.092 -2.755 11.932
2.092 2.755 -11.932
Cs Th Se
1 2 6
direct
0.000 0.000 0.000 Cs
0.184 0.184 0.000 Th
0.816 0.816 0.000 Th
0.135 0.385 0.750 Se
0.271 0.771 0.500 Se
0.365 0.615 0.750 Se
0.635 0.385 0.250 Se
0.729 0.229 0.500 Se
0.865 0.615 0.250 Se
```

Summary:
total magnetization = 0.0 μB/f.u.
VASP energy = -5.945 eV per atom
ΔE_f (raw) = -1472 meV per atom

***

(5)
This record from the Alexandria database describes CsTiSe2 after structural relaxation. The functional is GGA-PBEsol.

POSCAR file:
```
CsTiSe2
1.0
7.673 0.000 0.000
0.000 12.615 0.000
-2.338 0.000 5.603
Cs Ti Se
4 4 8
direct
0.000 0.148 0.250 Cs
0.000 0.852 0.750 Cs
0.500 0.352 0.750 Cs
0.500 0.648 0.250 Cs
0.000 0.497 0.750 Ti
0.000 0.503 0.250 Ti
0.500 0.003 0.250 Ti
0.500 0.997 0.750 Ti
0.196 0.395 0.102 Se
0.196 0.605 0.602 Se
0.304 0.105 0.898 Se
0.304 0.895 0.398 Se
0.696 0.105 0.602 Se
0.696 0.895 0.102 Se
0.804 0.395 0.398 Se
0.804 0.605 0.898 Se
```

Summary:
total magnetization = 1.0 μB/f.u.
VASP energy = -5.440 eV per atom
ΔE_f (raw) = -1198 meV per atom

***

(6)
This record from the Alexandria database describes Cs3TiSe after structural relaxation. The functional is GGA-PBEsol.

POSCAR file:
```
Cs3TiSe
1.0
6.028 0.000 0.000
0.000 6.028 0.000
0.000 0.000 6.028
Cs Ti Se
3 1 1
direct
0.000 0.000 0.500 Cs
0.000 0.500 0.000 Cs
0.500 0.000 0.000 Cs
0.000 0.000 0.000 Ti
0.500 0.500 0.500 Se
```

Summary:
total magnetization = 4.8 μB/f.u.
VASP energy = -2.410 eV per atom
ΔE_f (raw) = 590 meV per atom

***

(7)
This record from the Alexandria database describes CsTlSe2 after structural relaxation. The functional is GGA-PBEsol.

POSCAR file:
```
CsTlSe2
1.0
5.846 -5.846 0.000
5.846 5.846 0.000
-2.907 0.000 16.843
Cs Tl Se
8 8 16
direct
0.153 0.782 0.602 Cs
0.216 0.348 0.887 Cs
0.218 0.847 0.898 Cs
0.348 0.216 0.387 Cs
0.652 0.784 0.613 Cs
0.782 0.153 0.102 Cs
0.784 0.652 0.113 Cs
0.847 0.218 0.398 Cs
0.084 0.711 0.337 Tl
0.289 0.916 0.163 Tl
0.290 0.415 0.167 Tl
0.415 0.290 0.667 Tl
0.585 0.710 0.333 Tl
0.710 0.585 0.833 Tl
0.711 0.084 0.837 Tl
0.916 0.289 0.663 Tl
0.043 0.957 0.250 Se
0.044 0.418 0.254 Se
0.144 0.257 0.565 Se
0.257 0.144 0.065 Se
0.259 0.638 0.068 Se
0.362 0.741 0.432 Se
0.417 0.583 0.750 Se
0.418 0.044 0.754 Se
0.582 0.956 0.246 Se
0.583 0.417 0.250 Se
0.638 0.259 0.568 Se
0.741 0.362 0.932 Se
0.743 0.856 0.935 Se
0.856 0.743 0.435 Se
0.956 0.582 0.746 Se
0.957 0.043 0.750 Se
```

Summary:
total magnetization = 0.0 μB/f.u.
VASP energy = -3.492 eV per atom
ΔE_f (raw) = -674 meV per atom

***

(8)
This record from the Alexandria database describes CsTlSe2 after structural relaxation. The functional is GGA-PBEsol.

POSCAR file:
```
CsTlSe2
1.0
8.074 0.000 0.000
0.000 8.074 0.000
0.000 0.000 8.857
Cs Tl Se
4 4 8
direct
0.000 0.000 0.000 Cs
0.000 0.500 0.250 Cs
0.500 0.000 0.750 Cs
0.500 0.500 0.500 Cs
0.000 0.000 0.500 Tl
0.000 0.500 0.750 Tl
0.500 0.000 0.250 Tl
0.500 0.500 0.000 Tl
0.164 0.250 0.625 Se
0.250 0.664 0.875 Se
0.250 0.836 0.375 Se
0.336 0.250 0.125 Se
0.664 0.750 0.125 Se
0.750 0.164 0.375 Se
0.750 0.336 0.875 Se
0.836 0.750 0.625 Se
```

Summary:
total magnetization = 0.0 μB/f.u.
VASP energy = -3.448 eV per atom
ΔE_f (raw) = -630 meV per atom

***

(9)
This record from the Alexandria database describes Cs3TlSe after structural relaxation. The functional is GGA-PBEsol.

POSCAR file:
```
Cs3TlSe
1.0
6.840 0.000 0.000
0.000 6.840 0.000
0.000 0.000 6.840
Cs Tl Se
3 1 1
direct
0.000 0.000 0.500 Cs
0.000 0.500 0.000 Cs
0.500 0.000 0.000 Cs
0.500 0.500 0.500 Tl
0.000 0.000 0.000 Se
```

Summary:
total magnetization = 2.0 μB/f.u.
VASP energy = -2.232 eV per atom
ΔE_f (raw) = -371 meV per atom

***

(10)
This record from the Alexandria database describes CsVSe3 after structural relaxation. The functional is GGA-PBEsol.

POSCAR file:
```
CsVSe3
1.0
3.701 -6.521 0.000
3.701 6.521 0.000
0.000 0.000 5.653
Cs V Se
2 2 6
direct
0.178 0.822 0.750 Cs
0.822 0.178 0.250 Cs
0.446 0.446 0.500 V
0.554 0.554 0.000 V
0.190 0.335 0.782 Se
0.335 0.190 0.218 Se
0.350 0.650 0.250 Se
0.650 0.350 0.750 Se
0.665 0.810 0.718 Se
0.810 0.665 0.282 Se
```

Summary:
total magnetization = 0.0 μB/f.u.
VASP energy = -5.306 eV per atom
ΔE_f (raw) = -880 meV per atom

***

(11)
This record from the Alexandria database describes Cs3VSe4 after structural relaxation. The functional is GGA-PBEsol.

POSCAR file:
```
Cs3VSe4
1.0
8.460 0.000 0.000
0.000 8.460 0.000
0.000 0.000 8.460
Cs V Se
6 2 8
direct
0.000 0.000 0.500 Cs
0.000 0.500 0.000 Cs
0.000 0.500 0.500 Cs
0.500 0.000 0.000 Cs
0.500 0.000 0.500 Cs
0.500 0.500 0.000 Cs
0.000 0.000 0.000 V
0.500 0.500 0.500 V
0.156 0.156 0.156 Se
0.156 0.844 0.844 Se
0.344 0.344 0.656 Se
0.344 0.656 0.344 Se
0.656 0.344 0.344 Se
0.656 0.656 0.656 Se
0.844 0.156 0.844 Se
0.844 0.844 0.156 Se
```

Summary:
total magnetization = 0.0 μB/f.u.
VASP energy = -4.504 eV per atom
ΔE_f (raw) = -1021 meV per atom

***

(12)
This record from the Alexandria database describes CsWSe2 after structural relaxation. The functional is GGA-PBEsol.

POSCAR file:
```
CsWSe2
1.0
7.702 0.000 0.000
0.000 7.702 0.000
0.000 0.000 8.782
Cs W Se
4 4 8
direct
0.000 0.000 0.000 Cs
0.000 0.500 0.250 Cs
0.500 0.000 0.750 Cs
0.500 0.500 0.500 Cs
0.000 0.000 0.500 W
0.000 0.500 0.750 W
0.500 0.000 0.250 W
0.500 0.500 0.000 W
0.117 0.750 0.625 Se
0.250 0.117 0.375 Se
0.250 0.383 0.875 Se
0.383 0.750 0.125 Se
0.617 0.250 0.125 Se
0.750 0.617 0.875 Se
0.750 0.883 0.375 Se
0.883 0.250 0.625 Se
```

Summary:
total magnetization = 0.0 μB/f.u.
VASP energy = -5.797 eV per atom
ΔE_f (raw) = -185 meV per atom

***

(13)
This record from the Alexandria database describes Cs2ZnSe2 after structural relaxation. The functional is GGA-PBEsol.

POSCAR file:
```
Cs2ZnSe2
1.0
6.892 0.000 0.000
0.000 6.892 0.000
0.000 0.000 12.774
Cs Zn Se
4 2 4
direct
0.000 0.500 0.250 Cs
0.000 0.500 0.750 Cs
0.500 0.000 0.250 Cs
0.500 0.000 0.750 Cs
0.000 0.000 0.000 Zn
0.500 0.500 0.500 Zn
0.000 0.000 0.174 Se
0.000 0.000 0.826 Se
0.500 0.500 0.326 Se
0.500 0.500 0.674 Se
```

Summary:
total magnetization = 0.0 μB/f.u.
VASP energy = -3.110 eV per atom
ΔE_f (raw) = -876 meV per atom

***

(14)
This record from the Alexandria database describes CsZnSe3 after structural relaxation. The functional is GGA-PBEsol.

POSCAR file:
```
CsZnSe3
1.0
5.063 0.000 0.000
0.000 5.063 0.000
0.000 0.000 5.063
Cs Zn Se
1 1 3
direct
0.000 0.000 0.000 Cs
0.500 0.500 0.500 Zn
0.000 0.500 0.500 Se
0.500 0.000 0.500 Se
0.500 0.500 0.000 Se
```

Summary:
total magnetization = 0.0 μB/f.u.
VASP energy = -3.045 eV per atom
ΔE_f (raw) = -230 meV per atom

***

(15)
This record from the Alexandria database describes CsZn3Se after structural relaxation. The functional is GGA-PBEsol.

POSCAR file:
```
CsZn3Se
1.0
6.531 0.000 0.000
0.000 6.531 0.000
0.000 0.000 6.531
Cs Zn Se
1 3 1
direct
0.000 0.000 0.000 Cs
0.000 0.000 0.500 Zn
0.000 0.500 0.000 Zn
0.500 0.000 0.000 Zn
0.500 0.500 0.500 Se
```

Summary:
total magnetization = 1.0 μB/f.u.
VASP energy = -0.779 eV per atom
ΔE_f (raw) = 1128 meV per atom

***

(16)
This record from the Alexandria database describes CsSi after structural relaxation. The functional is GGA-PBEsol.

POSCAR file:
```
CsSi
1.0
13.350 0.000 0.000
0.000 13.350 0.000
0.000 0.000 13.350
Cs Si
32 32
direct
0.066 0.142 0.337 Cs
0.066 0.858 0.663 Cs
0.142 0.337 0.066 Cs
0.142 0.663 0.934 Cs
0.163 0.358 0.566 Cs
0.163 0.642 0.434 Cs
0.167 0.167 0.833 Cs
0.167 0.833 0.167 Cs
0.333 0.333 0.333 Cs
0.333 0.667 0.667 Cs
0.337 0.066 0.142 Cs
0.337 0.934 0.858 Cs
0.358 0.434 0.837 Cs
0.358 0.566 0.163 Cs
0.434 0.163 0.642 Cs
0.434 0.837 0.358 Cs
0.566 0.163 0.358 Cs
0.566 0.837 0.642 Cs
0.642 0.434 0.163 Cs
0.642 0.566 0.837 Cs
0.663 0.066 0.858 Cs
0.663 0.934 0.142 Cs
0.667 0.333 0.667 Cs
0.667 0.667 0.333 Cs
0.833 0.167 0.167 Cs
0.833 0.833 0.833 Cs
0.837 0.358 0.434 Cs
0.837 0.642 0.566 Cs
0.858 0.337 0.934 Cs
0.858 0.663 0.066 Cs
0.934 0.142 0.663 Cs
0.934 0.858 0.337 Cs
0.060 0.431 0.313 Si
0.060 0.569 0.687 Si
0.064 0.064 0.064 Si
0.064 0.936 0.936 Si
0.069 0.440 0.813 Si
0.069 0.560 0.187 Si
0.187 0.069 0.560 Si
0.187 0.931 0.440 Si
0.313 0.060 0.431 Si
0.313 0.940 0.569 Si
0.431 0.313 0.060 Si
0.431 0.687 0.940 Si
0.436 0.436 0.564 Si
0.436 0.564 0.436 Si
0.440 0.187 0.931 Si
0.440 0.813 0.069 Si
0.560 0.187 0.069 Si
0.560 0.813 0.931 Si
0.564 0.436 0.436 Si
0.564 0.564 0.564 Si
0.569 0.313 0.940 Si
0.569 0.687 0.060 Si
0.687 0.060 0.569 Si
0.687 0.940 0.431 Si
0.813 0.069 0.440 Si
0.813 0.931 0.560 Si
0.931 0.440 0.187 Si
0.931 0.560 0.813 Si
0.936 0.064 0.936 Si
0.936 0.936 0.064 Si
0.940 0.431 0.687 Si
0.940 0.569 0.313 Si
```

Summary:
total magnetization = 0.0 μB/f.u.
VASP energy = -3.455 eV per atom
energy above the most stable polymorph in this dataset = 0.000 eV/atom
ΔE_f (raw) = -110 meV per atom

***

(17)
This record from the Alexandria database describes CsSi after structural relaxation. The functional is GGA-PBEsol.

POSCAR file:
```
CsSi
1.0
-5.585 5.585 9.095
5.585 -5.585 9.095
5.585 5.585 -9.095
Cs Si
16 16
direct
0.005 0.255 0.510 Cs
0.108 0.750 0.858 Cs
0.245 0.495 0.990 Cs
0.250 0.108 0.858 Cs
0.250 0.608 0.358 Cs
0.255 0.245 0.250 Cs
0.392 0.250 0.642 Cs
0.495 0.005 0.250 Cs
0.505 0.995 0.750 Cs
0.608 0.750 0.358 Cs
0.745 0.755 0.750 Cs
0.750 0.392 0.642 Cs
0.750 0.892 0.142 Cs
0.755 0.505 0.010 Cs
0.892 0.250 0.142 Cs
0.995 0.745 0.490 Cs
0.021 0.736 0.101 Si
0.080 0.979 0.215 Si
0.135 0.920 0.399 Si
0.236 0.521 0.601 Si
0.264 0.865 0.285 Si
0.365 0.764 0.785 Si
0.420 0.635 0.899 Si
0.479 0.580 0.715 Si
0.521 0.420 0.285 Si
0.580 0.365 0.101 Si
0.635 0.236 0.215 Si
0.736 0.135 0.715 Si
0.764 0.479 0.399 Si
0.865 0.080 0.601 Si
0.920 0.021 0.785 Si
0.979 0.264 0.899 Si
```

Summary:
total magnetization = 0.0 μB/f.u.
VASP energy = -3.443 eV per atom
energy above the most stable polymorph in this dataset = 0.012 eV/atom
ΔE_f (raw) = -98 meV per atom

***

(18)
This record from the Alexandria database describes CsTaSi3 after structural relaxation. The functional is GGA-PBEsol.

POSCAR file:
```
CsTaSi3
1.0
5.042 0.000 0.000
0.000 5.042 0.000
0.000 0.000 5.042
Cs Ta Si
1 1 3
direct
0.000 0.000 0.000 Cs
0.500 0.500 0.500 Ta
0.000 0.000 0.500 Si
0.000 0.500 0.000 Si
0.500 0.000 0.000 Si
```

Summary:
total magnetization = 0.5 μB/f.u.
VASP energy = -3.298 eV per atom
ΔE_f (raw) = 2849 meV per atom

***

(19)
This record from the Alexandria database describes CsYTaSi2 after structural relaxation. The functional is GGA-PBEsol.

POSCAR file:
```
CsYTaSi2
1.0
5.230 0.000 0.000
0.000 5.230 0.000
0.000 0.000 5.077
Cs Y Ta Si
1 1 1 2
direct
0.000 0.000 0.000 Cs
0.500 0.500 0.500 Y
0.000 0.000 0.500 Ta
0.000 0.500 0.000 Si
0.500 0.000 0.000 Si
```

Summary:
total magnetization = 0.0 μB/f.u.
VASP energy = -4.146 eV per atom
ΔE_f (raw) = 2216 meV per atom

***

(20)
This record from the Alexandria database describes CsYSi3 after structural relaxation. The functional is GGA-PBEsol.

POSCAR file:
```
CsYSi3
1.0
5.251 0.000 0.000
0.000 5.251 0.000
0.000 0.000 5.251
Cs Y Si
1 1 3
direct
0.000 0.000 0.000 Cs
0.500 0.500 0.500 Y
0.000 0.000 0.500 Si
0.000 0.500 0.000 Si
0.500 0.000 0.000 Si
```

Summary:
total magnetization = 0.0 μB/f.u.
VASP energy = -3.325 eV per atom
ΔE_f (raw) = 1676 meV per atom